{"formula": "PmTmThTl", "functional": "GGA-PBE", "state": "relaxed", "lattice": [[-4.130, -3.142, -1.816], [1.063, -4.420, -3.093], [-0.732, -5.042, 2.066]], "species": ["Tl", "Tm", "Th", "Pm"], "frac_coords": [[0.500, 0.500, 0.500], [0.250, 0.250, 0.250], [0.000, 0.000, 0.000], [0.750, 0.750, 0.750]], "dos_at_fermi_per_ev_atom": 1.72, "e_form_ev_per_atom": 0.07}


{"formula": "Nd6TeAs2P3", "functional": "GGA-PBE", "state": "relaxed", "lattice": [[4.245, 0.000, 0.000], [0.000, 8.550, 0.295], [-2.122, -2.477, 8.946]], "species": ["Nd", "Nd", "Nd", "Nd", "Nd", "Nd", "Te", "As", "As", "P", "P", "P"], "frac_coords": [[0.326, 0.916, 0.651], [0.666, 0.586, 0.333], [0.674, 0.084, 0.349], [0.999, 0.271, 0.997], [0.001, 0.729, 0.003], [0.334, 0.414, 0.667], [0.500, 0.000, 0.000], [0.833, 0.667, 0.667], [0.167, 0.333, 0.333], [0.500, 0.500, 0.000], [0.835, 0.167, 0.670], [0.165, 0.833, 0.330]], "raw_formation_energy_mev_per_atom": -1543, "dos_at_fermi_per_ev_atom": 0.16}


{"formula": "Cd2Hg4Pb", "functional": "GGA-PBE", "state": "relaxed", "lattice": [[7.826, 0.000, -0.378], [0.000, 6.180, 0.000], [-3.398, 0.000, 7.881]], "species": ["Cd", "Cd", "Cd", "Cd", "Hg", "Hg", "Hg", "Hg", "Hg", "Hg", "Hg", "Hg", "Pb", "Pb"], "frac_coords": [[0.796, 0.750, 0.057], [0.204, 0.250, 0.943], [0.328, 0.250, 0.358], [0.672, 0.750, 0.642], [0.577, 0.501, 0.222], [0.110, 0.750, 0.924], [0.890, 0.250, 0.076], [0.577, 0.999, 0.222], [0.025, 0.250, 0.478], [0.423, 0.001, 0.778], [0.423, 0.499, 0.778], [0.975, 0.750, 0.522], [0.236, 0.750, 0.336], [0.764, 0.250, 0.664]], "dos_at_fermi_per_ev_atom": 0.41, "e_form_ev_per_atom": 0.05}


{"formula": "PbCI2O", "functional": "GGA-PBE", "state": "relaxed", "lattice": [[5.146, 0.000, 0.000], [0.000, 5.019, 0.000], [0.000, 0.000, 5.146]], "species": ["Pb", "I", "I", "C", "O"], "frac_coords": [[0.000, 0.500, 0.000], [0.000, 0.000, 0.500], [0.500, 0.000, 0.000], [0.500, 0.500, 0.500], [0.000, 0.000, 0.000]], "raw_formation_energy_mev_per_atom": 1368, "dos_at_fermi_per_ev_atom": 0.73}


{"formula": "ErMgMo", "functional": "GGA-PBE", "state": "relaxed", "lattice": [[-0.143, 2.277, 4.578], [-0.184, -2.056, 3.874], [8.359, 1.005, 2.618]], "species": ["Mg", "Mg", "Mo", "Mo", "Er", "Er"], "frac_coords": [[0.750, 0.500, 0.500], [0.250, 0.500, 0.500], [0.837, 0.327, 0.000], [0.163, 0.673, 0.000], [0.600, 0.000, 0.801], [0.400, 0.000, 0.199]], "dos_at_fermi_per_ev_atom": 0.87, "e_form_ev_per_atom": 0.52}


{"formula": "NbBr2Cl8", "functional": "GGA-PBE", "state": "relaxed", "lattice": [[7.343, 0.715, 1.321], [1.512, 7.383, 4.264], [1.321, 1.753, 8.377]], "species": ["Nb", "Br", "Br", "Cl", "Cl", "Cl", "Cl", "Cl", "Cl", "Cl", "Cl"], "frac_coords": [[0.000, 0.000, 0.000], [0.467, 0.744, 0.744], [0.533, 0.256, 0.256], [0.031, 0.863, 0.335], [0.031, 0.335, 0.863], [0.969, 0.137, 0.665], [0.440, 0.405, 0.405], [0.969, 0.665, 0.137], [0.356, 0.920, 0.920], [0.644, 0.080, 0.080], [0.560, 0.595, 0.595]], "raw_formation_energy_mev_per_atom": -635, "dos_at_fermi_per_ev_atom": 0.38}


{"formula": "Si3Ni", "functional": "GGA-PBE", "state": "relaxed", "lattice": [[3.890, 0.000, 0.000], [0.000, 4.629, 0.000], [0.000, 0.000, 6.127]], "species": ["Si", "Si", "Si", "Si", "Si", "Si", "Ni", "Ni"], "frac_coords": [[0.418, 0.500, 0.000], [0.582, 0.000, 0.500], [0.116, 0.000, 0.776], [0.116, 0.000, 0.224], [0.884, 0.500, 0.276], [0.884, 0.500, 0.724], [0.601, 0.000, 0.000], [0.399, 0.500, 0.500]], "raw_formation_energy_mev_per_atom": 109, "dos_at_fermi_per_ev_atom": 0.52}


{"formula": "PaBe4Pt8", "functional": "GGA-PBE", "state": "relaxed", "lattice": [[4.855, 0.000, 1.952], [2.428, 5.981, 0.976], [0.197, 0.000, 6.525]], "species": ["Pa", "Be", "Be", "Be", "Be", "Pt", "Pt", "Pt", "Pt", "Pt", "Pt", "Pt", "Pt"], "frac_coords": [[0.000, 0.000, 0.000], [0.000, 0.000, 0.500], [0.500, 0.000, 0.500], [0.000, 0.500, 0.000], [0.500, 0.500, 0.000], [0.000, 0.327, 0.673], [0.000, 0.673, 0.327], [0.327, 0.673, 0.673], [0.673, 0.327, 0.327], [0.500, 0.773, 0.227], [0.500, 0.227, 0.773], [0.273, 0.227, 0.227], [0.727, 0.773, 0.773]], "dos_at_fermi_per_ev_atom": 0.35, "e_form_ev_per_atom": -0.71}


{"formula": "MgIn3P", "functional": "GGA-PBE", "state": "relaxed", "lattice": [[5.351, 0.000, 0.000], [0.000, 5.351, 0.000], [0.000, 0.000, 5.351]], "species": ["P", "Mg", "In", "In", "In"], "frac_coords": [[0.500, 0.500, 0.500], [0.000, 0.000, 0.000], [0.000, 0.500, 0.000], [0.000, 0.000, 0.500], [0.500, 0.000, 0.000]], "dos_at_fermi_per_ev_atom": 0.45, "e_form_ev_per_atom": 0.71}


{"formula": "Mn3Zn2N", "functional": "GGA-PBE", "state": "relaxed", "lattice": [[-0.683, -0.261, 6.394], [6.046, -2.135, 0.559], [2.098, 6.066, 0.472]], "species": ["Mn", "Mn", "Mn", "Mn", "Mn", "Mn", "Mn", "Mn", "Mn", "Mn", "Mn", "Mn", "Zn", "Zn", "Zn", "Zn", "Zn", "Zn", "Zn", "Zn", "N", "N", "N", "N"], "frac_coords": [[0.625, 0.294, 0.544], [0.706, 0.044, 0.875], [0.544, 0.625, 0.294], [0.956, 0.375, 0.794], [0.294, 0.544, 0.625], [0.456, 0.125, 0.206], [0.044, 0.875, 0.706], [0.794, 0.956, 0.375], [0.206, 0.456, 0.125], [0.875, 0.706, 0.044], [0.375, 0.794, 0.956], [0.125, 0.206, 0.456], [0.567, 0.433, 0.933], [0.683, 0.683, 0.683], [0.933, 0.567, 0.433], [0.433, 0.933, 0.567], [0.183, 0.817, 0.317], [0.817, 0.317, 0.183], [0.317, 0.183, 0.817], [0.067, 0.067, 0.067], [0.875, 0.125, 0.625], [0.125, 0.625, 0.875], [0.625, 0.875, 0.125], [0.375, 0.375, 0.375]], "raw_formation_energy_mev_per_atom": -183, "dos_at_fermi_per_ev_atom": 0.56}


{"formula": "Nd8CuAu2", "functional": "GGA-PBE", "state": "relaxed", "lattice": [[-0.122, -4.449, 2.761], [-2.671, -3.352, -5.517], [9.407, 1.677, -1.850]], "species": ["Nd", "Nd", "Nd", "Nd", "Nd", "Nd", "Nd", "Nd", "Cu", "Au", "Au"], "frac_coords": [[0.409, 0.537, 0.819], [0.667, 0.997, 0.334], [0.798, 0.663, 0.597], [0.977, 0.214, 0.953], [0.202, 0.337, 0.403], [0.333, 0.003, 0.666], [0.591, 0.463, 0.181], [0.023, 0.786, 0.047], [0.500, 0.000, 0.000], [0.826, 0.262, 0.651], [0.174, 0.738, 0.349]], "dos_at_fermi_per_ev_atom": 1.05, "e_form_ev_per_atom": -0.29}


{"formula": "BaTl4Hg6", "functional": "GGA-PBE", "state": "relaxed", "lattice": [[8.049, -0.023, -0.034], [-3.742, 7.126, 0.034], [-3.742, -2.589, 6.640]], "species": ["Ba", "Tl", "Tl", "Tl", "Tl", "Hg", "Hg", "Hg", "Hg", "Hg", "Hg"], "frac_coords": [[0.000, 0.000, 0.000], [0.000, 0.242, 0.603], [0.639, 0.397, 0.397], [0.000, 0.603, 0.242], [0.361, 0.758, 0.758], [0.000, 0.871, 0.555], [0.000, 0.555, 0.871], [0.684, 0.129, 0.129], [0.500, 0.000, 0.500], [0.316, 0.445, 0.445], [0.500, 0.500, 0.000]], "dos_at_fermi_per_ev_atom": 0.44, "e_form_ev_per_atom": -0.03}


What is the formula in the third record?
Cd2Hg4Pb


What did the seventh record say?
{"formula": "Si3Ni", "functional": "GGA-PBE", "state": "relaxed", "lattice": [[3.890, 0.000, 0.000], [0.000, 4.629, 0.000], [0.000, 0.000, 6.127]], "species": ["Si", "Si", "Si", "Si", "Si", "Si", "Ni", "Ni"], "frac_coords": [[0.418, 0.500, 0.000], [0.582, 0.000, 0.500], [0.116, 0.000, 0.776], [0.116, 0.000, 0.224], [0.884, 0.500, 0.276], [0.884, 0.500, 0.724], [0.601, 0.000, 0.000], [0.399, 0.500, 0.500]], "raw_formation_energy_mev_per_atom": 109, "dos_at_fermi_per_ev_atom": 0.52}